A relaxed BaPb5Cl12 crystal. Source: Alexandria via LeMat-Bulk, functional PBE. Values from VASP.

Properties
E_tot: -67.0 eV per formula unit
DOS(E_F): 0.00 states/eV per cell

```
&SYSTEM
  ibrav = 0, nat = 18, ntyp = 3
/
ATOMIC_SPECIES
Pb 207.20 Pb.upf
Cl 35.45 Cl.upf
Ba 137.33 Ba.upf
CELL_PARAMETERS angstrom
-2.534 6.636 -2.990
-7.588 0.976 -1.336
-1.500 4.830 11.495
ATOMIC_POSITIONS crystal
Pb 0.500 0.000 0.500
Pb 0.167 0.666 0.500
Pb 0.333 0.333 0.000
Pb 0.833 0.334 0.500
Pb 0.667 0.667 0.000
Cl 0.649 0.349 0.118
Cl 0.351 0.651 0.882
Cl 0.162 0.000 0.615
Cl 0.171 0.333 0.386
Cl 0.838 0.000 0.385
Cl 0.829 0.667 0.614
Cl 0.503 0.667 0.386
Cl 0.998 0.651 0.118
Cl 0.497 0.333 0.614
Cl 0.347 0.000 0.119
Cl 0.653 0.000 0.881
Cl 0.002 0.349 0.882
Ba 0.000 0.000 0.000
```

=====

A relaxed BaPbCl2 crystal. Source: Alexandria via LeMat-Bulk, functional PBE. Values from VASP.

Properties
E_tot: -14.0 eV per formula unit
DOS(E_F): 4.32 states/eV per cell
energy above the lowest structure with this stoichiometry: 230.3 meV per atom

```
&SYSTEM
  ibrav = 0, nat = 4, ntyp = 3
/
ATOMIC_SPECIES
Pb 207.20 Pb.upf
Cl 35.45 Cl.upf
Ba 137.33 Ba.upf
CELL_PARAMETERS angstrom
0.000 3.935 3.935
3.935 0.000 3.935
3.935 3.935 0.000
ATOMIC_POSITIONS crystal
Pb 0.500 0.500 0.500
Cl 0.250 0.250 0.250
Cl 0.750 0.750 0.750
Ba 0.000 0.000 0.000
```

=====

A relaxed BaPb2Cl crystal. Source: Alexandria via LeMat-Bulk, functional PBE. Values from VASP.

Properties
E_tot: -12.0 eV per formula unit
DOS(E_F): 4.04 states/eV per cell
energy above the lowest structure with this stoichiometry: 713.5 meV per atom

```
&SYSTEM
  ibrav = 0, nat = 4, ntyp = 3
/
ATOMIC_SPECIES
Cl 35.45 Cl.upf
Ba 137.33 Ba.upf
Pb 207.20 Pb.upf
CELL_PARAMETERS angstrom
-3.234 -1.746 0.543
2.253 -2.237 -1.930
3.676 -4.026 8.959
ATOMIC_POSITIONS crystal
Cl 0.500 0.500 0.750
Ba 0.500 0.500 0.250
Pb 0.000 0.000 0.538
Pb 0.000 0.000 0.962
```

=====

A relaxed BaPbCl crystal. Source: Alexandria via LeMat-Bulk, functional PBE. Values from VASP.

Properties
E_tot: -9.4 eV per formula unit
DOS(E_F): 0.35 states/eV per cell
energy above the lowest structure with this stoichiometry: 364.8 meV per atom

```
&SYSTEM
  ibrav = 0, nat = 3, ntyp = 3
/
ATOMIC_SPECIES
Ba 137.33 Ba.upf
Cl 35.45 Cl.upf
Pb 207.20 Pb.upf
CELL_PARAMETERS angstrom
5.779 0.000 0.000
2.889 5.004 0.000
2.889 1.668 4.718
ATOMIC_POSITIONS crystal
Ba 0.750 0.750 0.750
Cl 0.000 0.000 0.000
Pb 0.500 0.500 0.500
```